# AcCdBiAs

AcCdBiAs after structural relaxation (PBE, Alexandria).

abc: 5.455 5.455 5.455
angles: 60.00 60.00 60.00
Fractional coordinates of all 4 atoms:
Ac 0.000 0.000 0.000
Cd 0.250 0.250 0.250
Bi 0.500 0.500 0.500
As 0.750 0.750 0.750

Computed properties:
E = -0.27681 Ry/atom
SG = F-43m, No. 216

# AcGaBiAs

AcGaBiAs after structural relaxation (PBE, Alexandria).

abc: 5.382 5.382 5.382
angles: 60.00 60.00 60.00
Fractional coordinates of all 4 atoms:
Ac 0.000 0.000 0.000
Ga 0.750 0.750 0.750
Bi 0.500 0.500 0.500
As 0.250 0.250 0.250

Computed properties:
E = -0.31761 Ry/atom
SG = F-43m, No. 216

# AcGeBiAs

AcGeBiAs after structural relaxation (PBE, Alexandria).

abc: 5.377 5.377 5.377
angles: 60.00 60.00 60.00
Fractional coordinates of all 4 atoms:
Ac 0.000 0.000 0.000
Ge 0.250 0.250 0.250
Bi 0.500 0.500 0.500
As 0.750 0.750 0.750

Computed properties:
E = -0.34187 Ry/atom
SG = F-43m, No. 216

# AcHgBiAs

AcHgBiAs after structural relaxation (PBE, Alexandria).

abc: 5.457 5.457 5.457
angles: 60.00 60.00 60.00
Fractional coordinates of all 4 atoms:
Ac 0.000 0.000 0.000
Hg 0.250 0.250 0.250
Bi 0.500 0.500 0.500
As 0.750 0.750 0.750

Computed properties:
E = -0.27203 Ry/atom
SG = F-43m, No. 216

# Ac6Bi2As3I

Ac6Bi2As3I after structural relaxation (PBE, Alexandria).

abc: 10.549 10.549 9.478
angles: 104.50 104.50 25.49
Fractional coordinates of all 12 atoms:
Ac 0.006 0.006 0.224
Ac 0.324 0.324 0.426
Ac 0.337 0.337 0.907
Ac 0.663 0.663 0.093
Ac 0.676 0.676 0.574
Ac 0.994 0.994 0.776
Bi 0.164 0.164 0.827
Bi 0.836 0.836 0.173
As 0.165 0.165 0.334
As 0.500 0.500 0.000
As 0.835 0.835 0.666
I 0.500 0.500 0.500

Computed properties:
uncorrected formation energy = -1.274 eV/atom
SG = C2/m, No. 12

# AcLaBiAs

AcLaBiAs after structural relaxation (PBE, Alexandria).

abc: 8.061 8.061 8.061
angles: 33.22 33.22 33.22
Fractional coordinates of all 4 atoms:
Ac 0.000 0.000 0.000
La 0.487 0.487 0.487
Bi 0.240 0.240 0.240
As 0.746 0.746 0.746

Computed properties:
E = -0.41494 Ry/atom
SG = R3m, No. 160

# NaAcBiAs

NaAcBiAs after structural relaxation (PBE, Alexandria).

abc: 5.548 5.548 5.548
angles: 60.00 60.00 60.00
Fractional coordinates of all 4 atoms:
Na 0.000 0.000 0.000
Ac 0.500 0.500 0.500
Bi 0.250 0.250 0.250
As 0.750 0.750 0.750

Computed properties:
E = -0.29502 Ry/atom
SG = F-43m, No. 216

# Ac2Ni4BiAs3

Ac2Ni4BiAs3 after structural relaxation (PBE, Alexandria).

abc: 4.406 4.406 10.044
angles: 90.00 90.00 90.00
Fractional coordinates of all 10 atoms:
Ac 0.000 0.500 0.229
Ac 0.500 0.000 0.771
Ni 0.000 0.000 0.000
Ni 0.000 0.500 0.639
Ni 0.500 0.000 0.361
Ni 0.500 0.500 0.000
Bi 0.000 0.000 0.500
As 0.000 0.500 0.879
As 0.500 0.000 0.121
As 0.500 0.500 0.500

Computed properties:
E = -0.40993 Ry/atom
SG = P-4m2, No. 115